1.
Here is crystalline SmHoMg5 at its relaxed geometry from Alexandria. Energies are from PBE.

Results
* DFT total energy: -2.364 eV per atom

Cell: 5.807 5.807 6.643 Å, 100.78 100.78 113.79°
Fractional positions:
Sm 0.000 0.000 0.000
Ho 0.500 0.500 0.500
Mg 0.000 0.000 0.500
Mg 0.085 0.509 0.773
Mg 0.491 0.915 0.227
Mg 0.509 0.085 0.773
Mg 0.915 0.491 0.227

2.
Here is crystalline Sm2Ho9Mg at its relaxed geometry from Alexandria. Energies are from PBE.

Results
* DFT total energy: -4.329 eV per atom

Cell: 4.975 4.975 14.977 Å, 90.00 90.00 90.00°
Fractional positions:
Sm 0.000 0.000 0.168
Sm 0.000 0.000 0.832
Ho 0.000 0.500 0.000
Ho 0.000 0.500 0.337
Ho 0.000 0.500 0.663
Ho 0.500 0.000 0.000
Ho 0.500 0.000 0.337
Ho 0.500 0.000 0.663
Ho 0.500 0.500 0.171
Ho 0.500 0.500 0.500
Ho 0.500 0.500 0.829
Mg 0.000 0.000 0.500

3.
Here is crystalline Sm2HoMg3 at its relaxed geometry from Alexandria. Energies are from PBE.

Results
* DFT total energy: -3.224 eV per atom

Cell: 3.818 3.818 11.495 Å, 90.00 90.00 90.00°
Fractional positions:
Sm 0.000 0.000 0.170
Sm 0.000 0.000 0.830
Ho 0.000 0.000 0.500
Mg 0.500 0.500 0.000
Mg 0.500 0.500 0.339
Mg 0.500 0.500 0.661

4.
Here is crystalline SmHo4Mg5 at its relaxed geometry from Alexandria. Energies are from PBE.

Results
* DFT total energy: -3.178 eV per atom

Cell: 3.786 3.786 18.982 Å, 90.00 90.00 90.00°
Fractional positions:
Sm 0.000 0.000 0.000
Ho 0.000 0.000 0.203
Ho 0.000 0.000 0.401
Ho 0.000 0.000 0.599
Ho 0.000 0.000 0.797
Mg 0.500 0.500 0.104
Mg 0.500 0.500 0.302
Mg 0.500 0.500 0.500
Mg 0.500 0.500 0.698
Mg 0.500 0.500 0.896

5.
Here is crystalline Sm8Ho6Mg at its relaxed geometry from Alexandria. Energies are from PBE.

Results
* DFT total energy: -4.312 eV per atom

Cell: 9.359 9.359 6.420 Å, 90.00 90.00 120.00°
Fractional positions:
Sm 0.038 0.765 0.322
Sm 0.235 0.273 0.322
Sm 0.273 0.038 0.678
Sm 0.333 0.667 0.350
Sm 0.667 0.333 0.650
Sm 0.727 0.962 0.322
Sm 0.765 0.727 0.678
Sm 0.962 0.235 0.678
Ho 0.095 0.647 0.830
Ho 0.353 0.447 0.830
Ho 0.447 0.095 0.170
Ho 0.553 0.905 0.830
Ho 0.647 0.553 0.170
Ho 0.905 0.353 0.170
Mg 0.000 0.000 0.000

6.
Here is crystalline Sm3Ho4Mg at its relaxed geometry from Alexandria. Energies are from PBE.

Results
* distance to the lowest polymorph of the same formula: 2 meV per atom

Cell: 4.988 9.928 10.029 Å, 90.00 90.00 90.00°
Fractional positions:
Sm 0.250 0.001 0.124
Sm 0.250 0.250 0.872
Sm 0.250 0.499 0.124
Sm 0.750 0.501 0.876
Sm 0.750 0.750 0.128
Sm 0.750 0.999 0.876
Ho 0.250 0.250 0.376
Ho 0.250 0.502 0.624
Ho 0.250 0.750 0.376
Ho 0.250 0.998 0.624
Ho 0.750 0.002 0.376
Ho 0.750 0.250 0.624
Ho 0.750 0.498 0.376
Ho 0.750 0.750 0.624
Mg 0.250 0.750 0.871
Mg 0.750 0.250 0.129